# MgCoRe

A geometry-optimized MgCoRe structure (PBE, Alexandria via LeMat-Bulk).

Cell: 4.756 4.756 4.908 Å, 104.71 75.29 61.58°
Fractional coordinates of all 6 atoms:
Mg 0.155 0.746 0.981
Mg 0.481 0.073 0.981
Re 0.667 0.561 0.283
Re 0.969 0.258 0.678
Co 0.568 0.160 0.481
Co 0.068 0.660 0.481

total magnetic moment	0.0	μB per cell
space group	Fmmm, No. 69
raw total energy	-6.986	eV/atom
formation energy	0.063	eV/atom
ΔE to the lowest computed polymorph	0.00	kJ per mole of atoms


# Sm2EuPt

A geometry-optimized Sm2EuPt structure (PBE, Alexandria via LeMat-Bulk).

Cell: 4.139 4.139 9.788 Å, 77.79 77.79 60.00°
Fractional coordinates of all 4 atoms:
Pt 0.000 0.000 0.000
Sm 0.721 0.721 0.836
Sm 0.279 0.279 0.164
Eu 0.500 0.500 0.500

total magnetic moment	7.9	μB per cell
space group	R-3m, No. 166
raw total energy	-6.952	eV/atom
formation energy	-0.513	eV/atom